Below is PuNpNiAu after structural relaxation, with properties calculated at the PBE level.

a = 4.719 Å, b = 4.719 Å, c = 4.719 Å
α = 60.00°, β = 60.00°, γ = 60.00°
Element x y z (fractional)
Pu1 0.000 0.000 0.000
Np1 0.750 0.750 0.750
Ni1 0.500 0.500 0.500
Au1 0.250 0.250 0.250

Properties
The value obtained for the density of states at the Fermi level is 9.338 states/eV/f.u. For the electronic total energy, the calculation gives -9.19 eV/atom.

Below is CoNiRu after structural relaxation, with properties calculated at the PBE level.

a = 2.599 Å, b = 2.599 Å, c = 6.234 Å
α = 90.00°, β = 90.00°, γ = 120.00°
Element x y z (fractional)
Co1 0.000 0.000 0.000
Ni1 0.667 0.333 0.322
Ru1 0.333 0.667 0.666

Properties
The value obtained for the density of states at the Fermi level is 4.723 states/eV/f.u. For the electronic total energy, the calculation gives -7.23 eV/atom.

Below is Na2Li2Mg after structural relaxation, with properties calculated at the PBE level.

a = 8.206 Å, b = 8.206 Å, c = 4.005 Å
α = 90.00°, β = 90.00°, γ = 90.00°
Element x y z (fractional)
Na1 0.170 0.330 0.000
Na2 0.330 0.830 0.000
Na3 0.670 0.170 0.000
Na4 0.830 0.670 0.000
Li1 0.133 0.633 0.500
Li2 0.367 0.133 0.500
Li3 0.633 0.867 0.500
Li4 0.867 0.367 0.500
Mg1 0.000 0.000 0.500
Mg2 0.500 0.500 0.500

Properties
The value obtained for the density of states at the Fermi level is 1.392 states/eV/f.u. For the electronic total energy, the calculation gives -1.50 eV/atom.

Below is LaYTe after structural relaxation, with properties calculated at the PBE level.

a = 6.610 Å, b = 6.610 Å, c = 6.610 Å
α = 144.97°, β = 144.97°, γ = 50.38°
Element x y z (fractional)
La1 0.000 0.000 0.000
Y1 0.695 0.695 0.000
Te1 0.325 0.325 0.000

Properties
The value obtained for the density of states at the Fermi level is 3.873 states/eV/f.u. For the electronic total energy, the calculation gives -5.65 eV/atom. Its raw formation energy is -2.423 eV per formula unit.

Below is DyErO after structural relaxation, with properties calculated at the PBE level.

a = 3.510 Å, b = 6.105 Å, c = 6.659 Å
α = 117.08°, β = 105.24°, γ = 90.01°
Element x y z (fractional)
Dy1 0.133 0.464 0.266
Dy2 0.867 0.536 0.734
Er1 0.369 0.032 0.738
Er2 0.631 0.968 0.262
O1 0.247 0.228 0.495
O2 0.753 0.772 0.505

Properties
The value obtained for the density of states at the Fermi level is 2.913 states/eV/f.u. For the electronic total energy, the calculation gives -6.51 eV/atom. Its raw formation energy is -5.421 eV per formula unit.

Below is LiCa2BiS4 after structural relaxation, with properties calculated at the PBE level.

a = 6.904 Å, b = 4.029 Å, c = 6.909 Å
α = 90.00°, β = 108.77°, γ = 90.00°
Element x y z (fractional)
Li1 0.000 0.000 0.000
Ca1 0.000 0.500 0.500
Ca2 0.500 0.000 0.500
Bi1 0.500 0.500 0.000
S1 0.246 0.000 0.755
S2 0.249 0.500 0.249
S3 0.751 0.500 0.751
S4 0.754 0.000 0.245

Properties
The value obtained for the density of states at the Fermi level is 0.000 states/eV/f.u. For the electronic total energy, the calculation gives -4.70 eV/atom. Its raw formation energy is -11.278 eV per formula unit.

Below is TaGa3Pd after structural relaxation, with properties calculated at the PBE level.

a = 4.678 Å, b = 4.678 Å, c = 4.678 Å
α = 90.00°, β = 90.00°, γ = 90.00°
Element x y z (fractional)
Ta1 0.000 0.000 0.000
Ga1 0.000 0.500 0.500
Ga2 0.500 0.000 0.500
Ga3 0.500 0.500 0.000
Pd1 0.500 0.500 0.500

Properties
The value obtained for the density of states at the Fermi level is 4.041 states/eV/f.u. For the electronic total energy, the calculation gives -4.58 eV/atom.

Below is PrSm2Sc after structural relaxation, with properties calculated at the PBE level.

a = 3.593 Å, b = 3.593 Å, c = 9.919 Å
α = 90.00°, β = 90.00°, γ = 90.00°
Element x y z (fractional)
Pr1 0.000 0.000 0.000
Sm1 0.500 0.500 0.267
Sm2 0.500 0.500 0.733
Sc1 0.000 0.000 0.500

Properties
The value obtained for the density of states at the Fermi level is 6.966 states/eV/f.u. For the electronic total energy, the calculation gives -5.09 eV/atom.

Below is Dy2Al5Fe2Ag after structural relaxation, with properties calculated at the PBE level.

a = 9.245 Å, b = 9.245 Å, c = 4.163 Å
α = 90.00°, β = 90.00°, γ = 90.00°
Element x y z (fractional)
Dy1 0.187 0.313 0.000
Dy2 0.313 0.813 0.000
Dy3 0.687 0.187 0.000
Dy4 0.813 0.687 0.000
Al1 0.000 0.500 0.500
Al2 0.061 0.784 0.500
Al3 0.216 0.061 0.500
Al4 0.284 0.561 0.500
Al5 0.439 0.284 0.500
Al6 0.500 0.000 0.500
Al7 0.561 0.716 0.500
Al8 0.716 0.439 0.500
Al9 0.784 0.939 0.500
Al10 0.939 0.216 0.500
Fe1 0.099 0.599 0.000
Fe2 0.401 0.099 0.000
Fe3 0.599 0.901 0.000
Fe4 0.901 0.401 0.000
Ag1 0.000 0.000 0.000
Ag2 0.500 0.500 0.000

Properties
The value obtained for the density of states at the Fermi level is 6.219 states/eV/f.u. For the electronic total energy, the calculation gives -5.05 eV/atom.

Below is AlCrPd6 after structural relaxation, with properties calculated at the PBE level.

a = 5.471 Å, b = 5.471 Å, c = 4.001 Å
α = 90.00°, β = 90.00°, γ = 93.05°
Element x y z (fractional)
Al1 0.000 0.000 0.000
Cr1 0.500 0.500 0.000
Pd1 0.000 0.500 0.000
Pd2 0.213 0.213 0.500
Pd3 0.284 0.716 0.500
Pd4 0.500 0.000 0.000
Pd5 0.716 0.284 0.500
Pd6 0.787 0.787 0.500

Properties
The value obtained for the density of states at the Fermi level is 6.789 states/eV/f.u. For the electronic total energy, the calculation gives -5.91 eV/atom.

Below is Nd6Sm3Er2Th after structural relaxation, with properties calculated at the PBE level.

a = 6.283 Å, b = 6.283 Å, c = 12.065 Å
α = 95.00°, β = 95.00°, γ = 119.91°
Element x y z (fractional)
Nd1 0.083 0.413 0.747
Nd2 0.247 0.247 0.253
Nd3 0.413 0.083 0.747
Nd4 0.587 0.917 0.253
Nd5 0.753 0.753 0.747
Nd6 0.917 0.587 0.253
Sm1 0.167 0.833 0.000
Sm2 0.500 0.500 0.000
Sm3 0.833 0.167 0.000
Er1 0.333 0.667 0.500
Er2 0.667 0.333 0.500
Th1 0.000 0.000 0.500

Properties
The value obtained for the density of states at the Fermi level is 17.366 states/eV/f.u. For the electronic total energy, the calculation gives -4.91 eV/atom.

Below is MoPdCl6 after structural relaxation, with properties calculated at the PBE level.

a = 6.633 Å, b = 6.633 Å, c = 6.633 Å
α = 55.29°, β = 55.29°, γ = 55.29°
Element x y z (fractional)
Mo1 0.000 0.000 0.000
Pd1 0.500 0.500 0.500
Cl1 0.079 0.396 0.768
Cl2 0.232 0.921 0.604
Cl3 0.396 0.768 0.079
Cl4 0.604 0.232 0.921
Cl5 0.768 0.079 0.396
Cl6 0.921 0.604 0.232

Properties
The value obtained for the density of states at the Fermi level is 3.907 states/eV/f.u. For the electronic total energy, the calculation gives -4.02 eV/atom. Its raw formation energy is -5.067 eV per formula unit.